(1)
A relaxed ErThPd crystal. Source: the Alexandria database, functional PBE.

## Properties
Magnetization ... 0.000 Bohr magnetons per cell
Fermi-level density of states ... 2.302 states/eV per cell
Calculated density ... 10.805 g/cm³

Cell lengths 3.8080, 4.8545, 4.8545 Å; angles 120.00, 90.00, 90.00 degrees
Atoms (fractional coordinates):
1 Th 0.0473 0.0000 0.0000
2 Er 0.5857 0.6667 0.3333
3 Pd 0.3670 0.3333 0.6667

(2)
A relaxed ErThPd crystal. Source: the Alexandria database, functional PBE.

## Properties
Magnetization ... 0.000 Bohr magnetons per cell
Fermi-level density of states ... 3.981 states/eV per cell
Calculated density ... 9.819 g/cm³

Cell lengths 4.9454, 4.9454, 4.9454 Å; angles 60.00, 60.00, 60.00 degrees
Atoms (fractional coordinates):
1 Pd 0.2500 0.2500 0.2500
2 Th 0.5000 0.5000 0.5000
3 Er 0.0000 0.0000 0.0000

(3)
A relaxed ErThPd crystal. Source: the Alexandria database, functional PBE.

## Properties
Magnetization ... 0.000 Bohr magnetons per cell
Fermi-level density of states ... 3.523 states/eV per cell
Calculated density ... 10.858 g/cm³

Cell lengths 3.6224, 3.6224, 6.4266 Å; angles 106.37, 106.37, 90.00 degrees
Atoms (fractional coordinates):
1 Th 0.0208 0.0208 0.0416
2 Er 0.3123 0.3123 0.6246
3 Pd 0.6669 0.6669 0.3338

Unit: meV per atom. Relative energies: (1) 179; (2) 168; (3) 0.

(1)
A relaxed ErTlPd crystal. Source: the Alexandria database, functional PBE.

## Properties
Magnetization ... 0.000 Bohr magnetons per cell
Fermi-level density of states ... 3.233 states/eV per cell
Calculated density ... 11.715 g/cm³

Cell lengths 3.4701, 4.7484, 4.7484 Å; angles 120.00, 90.00, 90.00 degrees
Atoms (fractional coordinates):
1 Tl 0.1663 0.0000 0.0000
2 Pd 0.1670 0.3333 0.6667
3 Er 0.6666 0.6667 0.3333

(2)
A relaxed ErTlPd crystal. Source: the Alexandria database, functional PBE.

## Properties
Magnetization ... 0.000 Bohr magnetons per cell
Fermi-level density of states ... 3.317 states/eV per cell
Calculated density ... 11.902 g/cm³

Cell lengths 4.9962, 4.9962, 6.1712 Å; angles 90.00, 90.00, 120.01 degrees
Atoms (fractional coordinates):
1 Tl 0.0000 0.5000 0.0000
2 Tl 0.0000 0.5000 0.5000
3 Er 0.6665 0.8335 0.7500
4 Er 0.3335 0.1665 0.2500
5 Pd 0.6668 0.8332 0.2500
6 Pd 0.3332 0.1668 0.7500

(3)
A relaxed ErTlPd crystal. Source: the Alexandria database, functional PBE.

## Properties
Magnetization ... 0.000 Bohr magnetons per cell
Fermi-level density of states ... 11.006 states/eV per cell
Calculated density ... 11.806 g/cm³

Cell lengths 3.7103, 7.9025, 13.7603 Å; angles 90.00, 90.00, 90.00 degrees
Atoms (fractional coordinates):
1 Tl 0.5000 0.1757 0.7500
2 Tl 0.5000 0.8243 0.2500
3 Tl 0.5000 0.4309 0.3905
4 Tl 0.5000 0.5691 0.6095
5 Tl 0.5000 0.4309 0.1095
6 Tl 0.5000 0.5691 0.8905
7 Pd 0.5000 0.0674 0.4064
8 Pd 0.5000 0.9326 0.5936
9 Pd 0.5000 0.9326 0.9064
10 Pd 0.0000 0.5540 0.2500
11 Pd 0.0000 0.4460 0.7500
12 Pd 0.5000 0.0674 0.0936
13 Er 0.0000 0.7803 0.0507
14 Er 0.0000 0.2197 0.9493
15 Er 0.0000 0.2197 0.5507
16 Er 0.0000 0.1670 0.2500
17 Er 0.0000 0.8330 0.7500
18 Er 0.0000 0.7803 0.4493

Unit: meV per atom. Relative energies: (1) 111; (2) 61; (3) 0.

(1)
A relaxed Er3Tl2Pd crystal. Source: the Alexandria database, functional PBE.

## Properties
Magnetization ... 0.181 Bohr magnetons per cell
Fermi-level density of states ... 4.674 states/eV per cell
Calculated density ... 11.334 g/cm³

Cell lengths 3.5588, 3.5588, 11.7644 Å; angles 90.00, 90.00, 90.00 degrees
Site moments in Bohr magnetons follow the coordinates.
Atoms (fractional coordinates):
1 Er 0.0000 0.0000 0.6421  0.00
2 Er 0.0000 0.0000 0.3579  0.00
3 Er 0.0000 0.0000 0.0000  0.14
4 Tl 0.5000 0.5000 0.1772  0.00
5 Tl 0.5000 0.5000 0.8228  0.00
6 Pd 0.5000 0.5000 0.5000  0.00

(2)
A relaxed Er3Tl2Pd crystal. Source: the Alexandria database, functional PBE.

## Properties
Magnetization ... 0.000 Bohr magnetons per cell
Fermi-level density of states ... 8.312 states/eV per cell
Calculated density ... 10.253 g/cm³

Cell lengths 7.7925, 6.7113, 7.8571 Å; angles 84.17, 79.93, 54.51 degrees
Atoms (fractional coordinates):
1 Er 0.1023 0.3474 0.7672
2 Er 0.3247 0.0000 0.1736
3 Er 0.6753 0.0000 0.8264
4 Er 0.4497 0.6526 0.7672
5 Er 0.5503 0.3474 0.2328
6 Er 0.8977 0.6526 0.2328
7 Tl 0.5000 0.0000 0.5000
8 Tl 0.1403 0.7195 0.5000
9 Tl 0.8597 0.2805 0.5000
10 Tl 0.0000 0.0000 0.0000
11 Pd 0.2857 0.4286 0.0000
12 Pd 0.7143 0.5714 0.0000

Unit: meV per atom. Relative energies: (1) 0; (2) 127.

(1)
A relaxed Er4Tl3Pd crystal. Source: the Alexandria database, functional PBE.

## Properties
Magnetization ... 0.000 Bohr magnetons per cell
Fermi-level density of states ... 6.298 states/eV per cell
Calculated density ... 10.984 g/cm³

Cell lengths 3.7951, 4.8121, 11.4954 Å; angles 90.00, 90.00, 90.00 degrees
Atoms (fractional coordinates):
1 Tl 0.0000 0.5000 0.5914
2 Tl 0.0000 0.0000 0.4096
3 Tl 0.5000 0.0000 0.9157
4 Er 0.0000 0.5000 0.8808
5 Er 0.0000 0.0000 0.1389
6 Er 0.5000 0.5000 0.3296
7 Er 0.5000 0.0000 0.6508
8 Pd 0.5000 0.5000 0.0831

(2)
A relaxed Er4Tl3Pd crystal. Source: the Alexandria database, functional PBE.

## Properties
Magnetization ... 0.090 Bohr magnetons per cell
Fermi-level density of states ... 5.347 states/eV per cell
Calculated density ... 11.386 g/cm³

Cell lengths 3.5931, 3.5931, 15.6862 Å; angles 90.00, 90.00, 90.00 degrees
Atoms (fractional coordinates):
1 Pd 0.5000 0.5000 0.0000
2 Er 0.0000 0.0000 0.8945
3 Er 0.0000 0.0000 0.1055
4 Er 0.0000 0.0000 0.3679
5 Er 0.0000 0.0000 0.6321
6 Tl 0.5000 0.5000 0.7609
7 Tl 0.5000 0.5000 0.5000
8 Tl 0.5000 0.5000 0.2391

Unit: meV per atom. Relative energies: (1) 45; (2) 0.

(1)
A relaxed Er2Tm2Pd3 crystal. Source: the Alexandria database, functional PBE.

## Properties
Magnetization ... 0.000 Bohr magnetons per cell
Fermi-level density of states ... 6.022 states/eV per cell
Calculated density ... 10.025 g/cm³

Cell lengths 4.8883, 7.6728, 4.8933 Å; angles 71.64, 89.94, 108.40 degrees
Atoms (fractional coordinates):
1 Er 0.1269 0.2505 0.3731
2 Er 0.8731 0.7495 0.6269
3 Pd 0.2540 0.5098 0.7460
4 Pd 0.0000 0.0000 0.0000
5 Pd 0.7460 0.4902 0.2540
6 Tm 0.3735 0.7494 0.1274
7 Tm 0.6265 0.2506 0.8726

(2)
A relaxed Er2Tm2Pd3 crystal. Source: the Alexandria database, functional PBE.

## Properties
Magnetization ... 0.000 Bohr magnetons per cell
Fermi-level density of states ... 4.999 states/eV per cell
Calculated density ... 10.071 g/cm³

Cell lengths 4.8620, 4.8686, 8.4597 Å; angles 89.92, 106.59, 120.14 degrees
Atoms (fractional coordinates):
1 Pd 0.0000 0.0000 0.0000
2 Pd 0.4993 0.2493 0.7496
3 Pd 0.5007 0.7507 0.2504
4 Tm 0.7508 0.3753 0.1260
5 Tm 0.2492 0.6247 0.8740
6 Er 0.7490 0.8745 0.6240
7 Er 0.2510 0.1255 0.3760

Unit: meV per atom. Relative energies: (1) 12; (2) 0.

(1)
A relaxed ErTm2Pd3 crystal. Source: the Alexandria database, functional PBE.

## Properties
Magnetization ... 0.000 Bohr magnetons per cell
Fermi-level density of states ... 4.401 states/eV per cell
Calculated density ... 10.946 g/cm³

Cell lengths 3.4694, 3.4694, 10.3896 Å; angles 90.00, 90.00, 90.00 degrees
Atoms (fractional coordinates):
1 Tm 0.5000 0.5000 0.8339
2 Tm 0.5000 0.5000 0.1661
3 Pd 0.0000 0.0000 0.0000
4 Pd 0.0000 0.0000 0.6685
5 Pd 0.0000 0.0000 0.3315
6 Er 0.5000 0.5000 0.5000

(2)
A relaxed ErTm2Pd3 crystal. Source: the Alexandria database, functional PBE.

## Properties
Magnetization ... 0.000 Bohr magnetons per cell
Fermi-level density of states ... 5.724 states/eV per cell
Calculated density ... 10.964 g/cm³

Cell lengths 3.4116, 4.9394, 14.8180 Å; angles 90.00, 90.00, 90.00 degrees
Atoms (fractional coordinates):
1 Pd 0.5003 0.0000 0.8323
2 Pd 0.4996 0.0000 0.5000
3 Pd 0.5004 0.5000 0.0000
4 Pd 0.4997 0.5000 0.6677
5 Pd 0.4997 0.5000 0.3323
6 Pd 0.5003 0.0000 0.1677
7 Tm 0.0002 0.5000 0.1667
8 Tm 0.9998 0.0000 0.3333
9 Tm 0.9998 0.0000 0.6667
10 Tm 0.0002 0.5000 0.8333
11 Er 0.0008 0.0000 0.0000
12 Er 0.9992 0.5000 0.5000

Unit: meV per atom. Relative energies: (1) 6; (2) 0.

(1)
A relaxed ErTm2Pd2 crystal. Source: the Alexandria database, functional PBE.

## Properties
Magnetization ... 0.000 Bohr magnetons per cell
Fermi-level density of states ... 8.072 states/eV per cell
Calculated density ... 9.667 g/cm³

Cell lengths 3.8080, 7.0429, 9.5527 Å; angles 90.00, 90.00, 105.68 degrees
Atoms (fractional coordinates):
1 Tm 0.3167 0.6334 0.8534
2 Tm 0.6833 0.3666 0.3534
3 Tm 0.8936 0.7872 0.1445
4 Tm 0.1064 0.2128 0.6445
5 Er 0.3989 0.7978 0.4866
6 Er 0.6011 0.2022 0.9866
7 Pd 0.2373 0.4746 0.1388
8 Pd 0.0314 0.0628 0.3620
9 Pd 0.9686 0.9372 0.8620
10 Pd 0.7627 0.5254 0.6388

(2)
A relaxed ErTm2Pd2 crystal. Source: the Alexandria database, functional PBE.

## Properties
Magnetization ... 0.000 Bohr magnetons per cell
Fermi-level density of states ... 7.227 states/eV per cell
Calculated density ... 10.251 g/cm³

Cell lengths 3.9288, 7.6945, 7.6945 Å; angles 90.00, 90.00, 90.00 degrees
Atoms (fractional coordinates):
1 Er 0.5000 0.0000 0.5000
2 Er 0.5000 0.5000 0.0000
3 Tm 0.0000 0.8368 0.8368
4 Tm 0.0000 0.3368 0.6632
5 Tm 0.0000 0.1632 0.1632
6 Tm 0.0000 0.6632 0.3368
7 Pd 0.5000 0.3653 0.3653
8 Pd 0.5000 0.1347 0.8653
9 Pd 0.5000 0.6347 0.6347
10 Pd 0.5000 0.8653 0.1347

Unit: meV per atom. Relative energies: (1) 72; (2) 0.

(1)
A relaxed ErTmPd crystal. Source: the Alexandria database, functional PBE.

## Properties
Magnetization ... 0.000 Bohr magnetons per cell
Fermi-level density of states ... 3.625 states/eV per cell
Calculated density ... 9.203 g/cm³

Cell lengths 4.8337, 4.8337, 4.8337 Å; angles 60.00, 60.00, 60.00 degrees
Atoms (fractional coordinates):
1 Er 0.5000 0.5000 0.5000
2 Pd 0.2500 0.2500 0.2500
3 Tm 0.0000 0.0000 0.0000

(2)
A relaxed ErTmPd crystal. Source: the Alexandria database, functional PBE.

## Properties
Magnetization ... 0.376 Bohr magnetons per cell
Fermi-level density of states ... 3.429 states/eV per cell
Calculated density ... 9.171 g/cm³

Cell lengths 3.7148, 3.7148, 7.0407 Å; angles 74.70, 74.70, 60.00 degrees
Site moments in Bohr magnetons follow the coordinates.
Atoms (fractional coordinates):
1 Tm 0.3473 0.3473 0.9580  0.14
2 Pd 0.1064 0.1064 0.6808  0.01
3 Er 0.5316 0.5316 0.4051  0.12

(3)
A relaxed ErTmPd crystal. Source: the Alexandria database, functional PBE.

## Properties
Magnetization ... 0.000 Bohr magnetons per cell
Fermi-level density of states ... 2.087 states/eV per cell
Calculated density ... 9.915 g/cm³

Cell lengths 3.5034, 3.5034, 6.5277 Å; angles 105.57, 105.57, 90.00 degrees
Atoms (fractional coordinates):
1 Pd 0.6679 0.6679 0.3357
2 Tm 0.3045 0.3045 0.6090
3 Er 0.0277 0.0277 0.0553

(4)
A relaxed ErTmPd crystal. Source: the Alexandria database, functional PBE.

## Properties
Magnetization ... 0.000 Bohr magnetons per cell
Fermi-level density of states ... 11.844 states/eV per cell
Calculated density ... 10.004 g/cm³

Cell lengths 4.8381, 8.6698, 7.0062 Å; angles 90.00, 90.00, 90.00 degrees
Atoms (fractional coordinates):
1 Pd 0.2500 0.0953 0.2607
2 Pd 0.2500 0.4047 0.7607
3 Pd 0.7500 0.9047 0.7393
4 Pd 0.7500 0.5953 0.2393
5 Er 0.2500 0.4201 0.3546
6 Er 0.7500 0.5799 0.6454
7 Er 0.2500 0.0799 0.8546
8 Er 0.7500 0.9201 0.1454
9 Tm 0.2500 0.6716 0.9841
10 Tm 0.7500 0.3284 0.0159
11 Tm 0.2500 0.8284 0.4841
12 Tm 0.7500 0.1716 0.5159

Unit: meV per atom. Relative energies: (1) 144; (2) 199; (3) 70; (4) 0.

(1)
A relaxed ErTmPd crystal. Source: the Alexandria database, functional PBE.

## Properties
Magnetization ... 0.000 Bohr magnetons per cell
Fermi-level density of states ... 2.800 states/eV per cell
Calculated density ... 10.150 g/cm³

Cell lengths 3.6784, 4.7678, 4.7678 Å; angles 120.00, 90.00, 90.00 degrees
Atoms (fractional coordinates):
1 Pd 0.3277 0.3333 0.6667
2 Tm 0.0697 0.0000 0.0000
3 Er 0.6026 0.6667 0.3333

(2)
A relaxed ErTmPd crystal. Source: the Alexandria database, functional PBE.

## Properties
Magnetization ... 0.000 Bohr magnetons per cell
Fermi-level density of states ... 20.202 states/eV per cell
Calculated density ... 9.928 g/cm³

Cell lengths 7.3113, 7.3113, 9.5952 Å; angles 90.00, 90.00, 120.00 degrees
Atoms (fractional coordinates):
1 Er 0.7371 0.7371 0.0000
2 Er 0.2629 0.0000 0.5000
3 Er 0.0000 0.2629 0.5000
4 Er 0.7371 0.7371 0.5000
5 Er 0.0000 0.2629 0.0000
6 Er 0.2629 0.0000 0.0000
7 Pd 0.6667 0.3333 0.0001
8 Pd 0.0000 0.0000 0.7500
9 Pd 0.3333 0.6667 0.5001
10 Pd 0.3333 0.6667 0.9999
11 Pd 0.0000 0.0000 0.2500
12 Pd 0.6667 0.3333 0.4999
13 Tm 0.0001 0.5933 0.7500
14 Tm 0.5932 0.9999 0.7500
15 Tm 0.4068 0.4067 0.2500
16 Tm 0.4067 0.4068 0.7500
17 Tm 0.5933 0.0001 0.2500
18 Tm 0.9999 0.5932 0.2500

Unit: meV per atom. Relative energies: (1) 180; (2) 0.

(1)
A relaxed Er2Tm3Pd2 crystal. Source: the Alexandria database, functional PBE.

## Properties
Magnetization ... 0.000 Bohr magnetons per cell
Fermi-level density of states ... 7.978 states/eV per cell
Calculated density ... 9.509 g/cm³

Cell lengths 3.6693, 9.9722, 6.5236 Å; angles 55.14, 73.72, 90.00 degrees
Atoms (fractional coordinates):
1 Tm 0.1564 0.7106 0.6879
2 Tm 0.8436 0.2894 0.3121
3 Tm 0.0000 0.0000 0.0000
4 Er 0.3877 0.6251 0.2246
5 Er 0.6123 0.3749 0.7754
6 Pd 0.6401 0.9276 0.7203
7 Pd 0.3599 0.0724 0.2797

(2)
A relaxed Er2Tm3Pd2 crystal. Source: the Alexandria database, functional PBE.

## Properties
Magnetization ... 0.010 Bohr magnetons per cell
Fermi-level density of states ... 8.249 states/eV per cell
Calculated density ... 9.748 g/cm³

Cell lengths 3.6613, 6.3820, 8.9902 Å; angles 115.62, 90.00, 106.67 degrees
Atoms (fractional coordinates):
1 Er 0.1577 0.3154 0.8132
2 Er 0.8423 0.6846 0.1868
3 Pd 0.1716 0.3431 0.2364
4 Pd 0.8284 0.6569 0.7636
5 Tm 0.5000 0.0000 0.0000
6 Tm 0.3872 0.7745 0.5606
7 Tm 0.6128 0.2255 0.4394

Unit: meV per atom. Relative energies: (1) 133; (2) 0.